First-principles (PBE) data for a geometry-optimized TiGa3Ge structure, as listed in Alexandria.

Computed properties:
The formation energy from the elements is 0.56 eV/atom. Its magnetization is 0.4 μB/f.u. The value obtained for the density of states at the Fermi level is 0.94 states/eV per atom.

```
data_TiGa3Ge
_cell_length_a 4.951
_cell_length_b 4.951
_cell_length_c 4.951
_cell_angle_alpha 90.00
_cell_angle_beta 90.00
_cell_angle_gamma 90.00
_space_group_name_H-M_alt 'P m -3 m'
_space_group_IT_number 221
_space_group_name_Hall '-P 4 2 3'
loop_
_atom_site_label
_atom_site_type_symbol
_atom_site_fract_x
_atom_site_fract_y
_atom_site_fract_z
Ti1 Ti 0.000 0.000 0.000
Ga1 Ga 0.000 0.000 0.500
Ge1 Ge 0.500 0.500 0.500
```

***

First-principles (PBE) data for a geometry-optimized CrSb2Se2 structure, as listed in Alexandria.

Computed properties:
The uncorrected formation energy is 0.243 eV per atom. Its magnetization is 3.2 μB/f.u. The value obtained for the density of states at the Fermi level is 0.47 states/eV per atom.

```
data_CrSb2Se2
_cell_length_a 3.661
_cell_length_b 3.661
_cell_length_c 20.044
_cell_angle_alpha 90.00
_cell_angle_beta 90.00
_cell_angle_gamma 90.00
_space_group_name_H-M_alt 'I 4/m m m'
_space_group_IT_number 139
_space_group_name_Hall '-I 4 2'
loop_
_atom_site_label
_atom_site_type_symbol
_atom_site_fract_x
_atom_site_fract_y
_atom_site_fract_z
Cr1 Cr 0.000 0.000 0.000
Sb1 Sb 0.000 0.000 0.428
Se1 Se 0.000 0.500 0.250
```